Entry 1
Density functional theory data (PBE) for a geometry-optimized Pm3Zn3Hg2 structure.

```
Pm3Zn3Hg2
1.0
2.3180 -5.4777 0.0000
2.3180 5.4777 0.0000
0.0000 0.0000 15.2046
Pm Zn Hg
6 6 4
Direct
0.0992 0.9008 0.6070
0.0992 0.9008 0.8930
0.3752 0.6248 0.7500
0.6248 0.3752 0.2500
0.9008 0.0992 0.1070
0.9008 0.0992 0.3930
0.3474 0.6526 0.2500
0.3982 0.6018 0.5393
0.3982 0.6018 0.9607
0.6018 0.3982 0.0393
0.6018 0.3982 0.4607
0.6526 0.3474 0.7500
0.1992 0.8008 0.1008
0.1992 0.8008 0.3992
0.8008 0.1992 0.6008
0.8008 0.1992 0.8992
```

N(E_F): 7.29 states/eV/f.u.

***

Entry 2
Density functional theory data (PBE) for a geometry-optimized Pm3Zn3Hg2 structure.

```
Pm3Zn3Hg2
1.0
10.0168 -1.9203 0.0000
10.0168 1.9203 0.0000
-1.3518 0.0000 5.0299
Pm Zn Hg
3 3 2
Direct
0.0000 0.0000 0.0000
0.1331 0.1331 0.6338
0.8669 0.8669 0.3662
0.3776 0.3776 0.8765
0.5000 0.5000 0.5000
0.6224 0.6224 0.1235
0.2324 0.2324 0.2327
0.7676 0.7676 0.7673
```

N(E_F): 5.49 states/eV/f.u.

***

Which structure is most stable, and how do the rest compare? From most to least stable: entry 1, entry 2.

***

Entry 1
Density functional theory data (PBE) for a geometry-optimized Pm4ZnHg structure.

```
Pm4ZnHg
1.0
3.6987 0.0000 0.0000
0.0000 3.6987 0.0000
0.0000 0.0000 12.7420
Pm Zn Hg
4 1 1
Direct
0.0000 0.0000 0.1412
0.0000 0.0000 0.8588
0.5000 0.5000 0.3426
0.5000 0.5000 0.6574
0.5000 0.5000 0.0000
0.0000 0.0000 0.5000
```

N(E_F): 7.63 states/eV/f.u.

***

Entry 2
Density functional theory data (PBE) for a geometry-optimized Pm4ZnHg structure.

```
Pm4ZnHg
1.0
5.1324 0.0000 0.0000
0.0000 5.1324 0.0000
0.0000 0.0000 7.3139
Pm Zn Hg
4 1 1
Direct
0.0000 0.5000 0.2395
0.0000 0.5000 0.7605
0.5000 0.0000 0.2395
0.5000 0.0000 0.7605
0.0000 0.0000 0.0000
0.5000 0.5000 0.5000
```

N(E_F): 9.55 states/eV/f.u.

***

Which structure is most stable, and how do the rest compare? From most to least stable: entry 1, entry 2.

***

Entry 1
Density functional theory data (PBE) for a geometry-optimized Pm2Zn2Hg3 structure.

```
Pm2Zn2Hg3
1.0
2.2450 -10.1292 0.0000
2.2450 10.1292 0.0000
0.0000 0.0000 7.3881
Pm Zn Hg
4 4 6
Direct
0.0530 0.9470 0.7500
0.1619 0.8381 0.2500
0.8381 0.1619 0.7500
0.9470 0.0530 0.2500
0.3095 0.6905 0.0622
0.3095 0.6905 0.4378
0.6905 0.3095 0.5622
0.6905 0.3095 0.9378
0.2224 0.7776 0.7500
0.4336 0.5664 0.5569
0.4336 0.5664 0.9431
0.5664 0.4336 0.0569
0.5664 0.4336 0.4431
0.7776 0.2224 0.2500
```

N(E_F): 7.11 states/eV/f.u.

***

Entry 2
Density functional theory data (PBE) for a geometry-optimized Pm2Zn2Hg3 structure.

```
Pm2Zn2Hg3
1.0
2.2419 -10.2798 0.0000
2.2419 10.2798 0.0000
0.0000 0.0000 3.6621
Pm Zn Hg
2 2 3
Direct
0.1609 0.8391 0.0000
0.8391 0.1609 0.0000
0.2811 0.7189 0.5000
0.7189 0.2811 0.5000
0.0000 0.0000 0.0000
0.4236 0.5764 0.5000
0.5764 0.4236 0.5000
```

N(E_F): 5.26 states/eV/f.u.

***

Which structure is most stable, and how do the rest compare? From most to least stable: entry 1, entry 2.

***

Entry 1
Density functional theory data (PBE) for a geometry-optimized Pm4ZnHg5 structure.

```
Pm4ZnHg5
1.0
8.0443 -2.6155 0.0000
8.0443 2.6155 0.0000
-1.5497 0.0000 6.2657
Pm Zn Hg
4 1 5
Direct
0.0921 0.0921 0.3310
0.3130 0.3130 0.1835
0.6870 0.6870 0.8165
0.9079 0.9079 0.6690
0.5000 0.5000 0.5000
0.1011 0.1011 0.8483
0.2856 0.2856 0.6603
0.5000 0.5000 0.0000
0.7144 0.7144 0.3397
0.8989 0.8989 0.1517
```

N(E_F): 9.08 states/eV/f.u.

***

Entry 2
Density functional theory data (PBE) for a geometry-optimized Pm4ZnHg5 structure.

```
Pm4ZnHg5
1.0
3.7785 0.0000 0.0000
0.0000 3.7785 0.0000
0.0000 0.0000 18.3436
Pm Zn Hg
4 1 5
Direct
0.0000 0.0000 0.1054
0.0000 0.0000 0.3152
0.0000 0.0000 0.6848
0.0000 0.0000 0.8946
0.0000 0.0000 0.5000
0.5000 0.5000 0.0000
0.5000 0.5000 0.2087
0.5000 0.5000 0.4160
0.5000 0.5000 0.5840
0.5000 0.5000 0.7913
```

N(E_F): 10.29 states/eV/f.u.

***

Which structure is most stable, and how do the rest compare? From most to least stable: entry 1, entry 2.

***

Entry 1
Density functional theory data (PBE) for a geometry-optimized Pm2ZnHg4 structure.

```
Pm2ZnHg4
1.0
2.4967 1.4415 8.5930
-2.4967 1.4415 8.5930
0.0000 -2.8829 8.5930
Pm Zn Hg
2 1 4
Direct
0.2473 0.2473 0.2473
0.7527 0.7527 0.7527
0.5000 0.5000 0.5000
0.1252 0.1252 0.1252
0.3696 0.3696 0.3696
0.6304 0.6304 0.6304
0.8748 0.8748 0.8748
```

N(E_F): 3.44 states/eV/f.u.

***

Entry 2
Density functional theory data (PBE) for a geometry-optimized Pm2ZnHg4 structure.

```
Pm2ZnHg4
1.0
6.2180 0.0000 0.0000
0.0000 6.3639 0.0000
-1.9017 0.0000 8.8241
Pm Zn Hg
4 2 8
Direct
0.1311 0.2500 0.4146
0.2821 0.7500 0.0219
0.7179 0.2500 0.9781
0.8689 0.7500 0.5854
0.0908 0.2500 0.7872
0.9092 0.7500 0.2128
0.2277 0.2500 0.0908
0.2946 0.7500 0.4075
0.3838 0.5187 0.7109
0.3838 0.9813 0.7109
0.6162 0.0187 0.2891
0.6162 0.4813 0.2891
0.7054 0.2500 0.5925
0.7723 0.7500 0.9092
```

N(E_F): 5.69 states/eV/f.u.

***

Which structure is most stable, and how do the rest compare? From most to least stable: entry 2, entry 1.

***

Entry 1
Density functional theory data (PBE) for a geometry-optimized PmZrHg2 structure.

```
PmZrHg2
1.0
3.6274 0.0000 0.0000
0.0000 3.6274 0.0000
0.0000 0.0000 7.4793
Pm Zr Hg
1 1 2
Direct
0.0000 0.0000 0.0000
0.0000 0.0000 0.5000
0.5000 0.5000 0.2759
0.5000 0.5000 0.7241
```

N(E_F): 4.71 states/eV/f.u.

***

Entry 2
Density functional theory data (PBE) for a geometry-optimized PmZrHg2 structure.

```
PmZrHg2
1.0
0.0000 3.6726 3.6726
3.6726 0.0000 3.6726
3.6726 3.6726 0.0000
Pm Zr Hg
1 1 2
Direct
0.0000 0.0000 0.0000
0.5000 0.5000 0.5000
0.2500 0.2500 0.2500
0.7500 0.7500 0.7500
```

N(E_F): 4.52 states/eV/f.u.

***

Which structure is most stable, and how do the rest compare? From most to least stable: entry 1, entry 2.

***

Entry 1
Density functional theory data (PBE) for a geometry-optimized Pr5Hg2 structure.

```
Pr5Hg2
1.0
8.3491 -4.0287 0.0000
8.3491 4.0287 0.0000
-0.4583 0.0000 6.6860
Pr Hg
10 4
Direct
0.0322 0.9678 0.7500
0.1530 0.3104 0.7183
0.2846 0.5530 0.4775
0.3104 0.1530 0.2183
0.4470 0.7154 0.0225
0.5530 0.2846 0.9775
0.6896 0.8470 0.7817
0.7154 0.4470 0.5225
0.8470 0.6896 0.2817
0.9678 0.0322 0.2500
0.1337 0.6281 0.9847
0.3719 0.8663 0.5153
0.6281 0.1337 0.4847
0.8663 0.3719 0.0153
```

N(E_F): 8.68 states/eV/f.u.

***

Entry 2
Density functional theory data (PBE) for a geometry-optimized Pr5Hg2 structure.

```
Pr5Hg2
1.0
-4.2020 7.6119 3.4590
4.2020 -7.6119 3.4590
4.2020 7.6119 -3.4590
Pr Hg
10 4
Direct
0.0193 0.2500 0.7693
0.0796 0.6664 0.7460
0.2500 0.2500 0.0000
0.4204 0.1664 0.5868
0.4807 0.2500 0.2307
0.5193 0.7500 0.7693
0.5796 0.8336 0.4132
0.7500 0.7500 0.0000
0.9204 0.3336 0.2540
0.9807 0.7500 0.2307
0.1288 0.2794 0.4083
0.3712 0.7794 0.1506
0.6288 0.2206 0.8494
0.8712 0.7206 0.5917
```

N(E_F): 8.19 states/eV/f.u.

***

Which structure is most stable, and how do the rest compare? From most to least stable: entry 1, entry 2.

***

Entry 1
Density functional theory data (PBE) for a geometry-optimized Pr3Hg structure.

```
Pr3Hg
1.0
0.0000 3.9680 3.9680
3.9680 0.0000 3.9680
3.9680 3.9680 0.0000
Pr Hg
3 1
Direct
0.0000 0.0000 0.0000
0.2500 0.2500 0.2500
0.7500 0.7500 0.7500
0.5000 0.5000 0.5000
```

N(E_F): 6.50 states/eV/f.u.

***

Entry 2
Density functional theory data (PBE) for a geometry-optimized Pr3Hg structure.

```
Pr3Hg
1.0
-2.4488 2.4488 5.1579
2.4488 -2.4488 5.1579
2.4488 2.4488 -5.1579
Pr Hg
3 1
Direct
0.0000 0.0000 0.0000
0.2500 0.7500 0.5000
0.7500 0.2500 0.5000
0.5000 0.5000 0.0000
```

N(E_F): 4.72 states/eV/f.u.

***

Which structure is most stable, and how do the rest compare? From most to least stable: entry 2, entry 1.

***

Entry 1
Density functional theory data (PBE) for a geometry-optimized Pr3Hg structure.

```
Pr3Hg
1.0
3.7941 0.0000 0.0000
0.0000 3.7941 0.0000
0.0000 0.0000 9.0495
Pr Hg
3 1
Direct
0.0000 0.0000 0.0000
0.5000 0.5000 0.2807
0.5000 0.5000 0.7193
0.0000 0.0000 0.5000
```

N(E_F): 5.10 states/eV/f.u.

***

Entry 2
Density functional theory data (PBE) for a geometry-optimized Pr3Hg structure.

```
Pr3Hg
1.0
4.9917 0.0000 0.0000
0.0000 4.9917 0.0000
0.0000 0.0000 4.9917
Pr Hg
3 1
Direct
0.0000 0.0000 0.5000
0.0000 0.5000 0.0000
0.5000 0.0000 0.0000
0.5000 0.5000 0.5000
```

N(E_F): 5.98 states/eV/f.u.

***

Entry 3
Density functional theory data (PBE) for a geometry-optimized Pr3Hg structure.

```
Pr3Hg
1.0
-1.8872 5.8238 2.9357
1.8872 -5.8238 2.9357
1.8872 5.8238 -2.9357
Pr Hg
3 1
Direct
0.0000 0.0000 0.0000
0.3699 0.5888 0.7811
0.8077 0.5888 0.2189
0.4570 0.9570 0.5000
```

N(E_F): 4.34 states/eV/f.u.

***

Which structure is most stable, and how do the rest compare? From most to least stable: entry 1, entry 3, entry 2.

***

Entry 1
Density functional theory data (PBE) for a geometry-optimized Pr3Hg4 structure.

```
Pr3Hg4
1.0
2.6326 1.5200 9.0642
-2.6326 1.5200 9.0642
0.0000 -3.0399 9.0642
Pr Hg
3 4
Direct
0.0000 0.0000 0.0000
0.2429 0.2429 0.2429
0.7571 0.7571 0.7571
0.1263 0.1263 0.1263
0.3760 0.3760 0.3760
0.6240 0.6240 0.6240
0.8737 0.8737 0.8737
```

N(E_F): 6.76 states/eV/f.u.

***

Entry 2
Density functional theory data (PBE) for a geometry-optimized Pr3Hg4 structure.

```
Pr3Hg4
1.0
7.2022 4.1582 2.1951
-7.2022 4.1582 2.1951
0.0000 -8.3164 2.1951
Pr Hg
6 8
Direct
0.0083 0.2701 0.3980
0.2701 0.3980 0.0083
0.3980 0.0083 0.2701
0.6020 0.9917 0.7299
0.7299 0.6020 0.9917
0.9917 0.7299 0.6020
0.0000 0.0000 0.0000
0.0831 0.5581 0.2384
0.2384 0.0831 0.5581
0.4419 0.7616 0.9169
0.5000 0.5000 0.5000
0.5581 0.2384 0.0831
0.7616 0.9169 0.4419
0.9169 0.4419 0.7616
```

N(E_F): 7.14 states/eV/f.u.

***

Which structure is most stable, and how do the rest compare? From most to least stable: entry 2, entry 1.

***

Entry 1
Density functional theory data (PBE) for a geometry-optimized PrHg6 structure.

```
PrHg6
1.0
5.0803 0.0000 0.0000
0.0000 5.0803 0.0000
0.0000 0.0000 7.3527
Pr Hg
1 6
Direct
0.0000 0.0000 0.0000
0.0000 0.0000 0.5000
0.0000 0.5000 0.2794
0.0000 0.5000 0.7206
0.5000 0.0000 0.2794
0.5000 0.0000 0.7206
0.5000 0.5000 0.0000
```

N(E_F): 4.26 states/eV/f.u.

***

Entry 2
Density functional theory data (PBE) for a geometry-optimized PrHg6 structure.

```
PrHg6
1.0
-3.9325 3.9325 3.9325
3.9325 -3.9325 3.9325
3.9325 3.9325 -3.9325
Pr Hg
1 6
Direct
0.0000 0.0000 0.0000
0.2500 0.5000 0.7500
0.2500 0.7500 0.5000
0.5000 0.2500 0.7500
0.5000 0.7500 0.2500
0.7500 0.2500 0.5000
0.7500 0.5000 0.2500
```

N(E_F): 6.34 states/eV/f.u.

***

Which structure is most stable, and how do the rest compare? From most to least stable: entry 1, entry 2.